Below is a relaxed structure of PrY7Tm2, with properties calculated at the PBE level.

E above lowest polymorph ... 664.9 meV/atom
V ... 39.83 A^3/atom
Space group ... No. 65
Raw total energy ... -5.207 eV per atom

Structure (extended XYZ):
```
10
Lattice="-1.522 5.204 1.751 -5.069 -3.680 6.530 8.696 2.076 1.391" Properties=species:S:1:pos:R:3 pbc="T T T"
Tm 3.849 2.969 3.792
Y 1.518 3.000 1.676
Tm -1.744 0.631 5.880
Pr 0.000 0.000 0.000
Y -1.940 -2.371 5.362
Y 1.053 1.800 4.836
Y 3.854 1.967 6.776
Y -1.749 1.634 2.896
Y 0.587 0.601 7.996
Y 5.567 0.767 2.560
```

Below is a relaxed structure of SrLiCl3, with properties calculated at the PBE level.

E above lowest polymorph ... 145.6 meV/atom
V ... 22.27 A^3/atom
Space group ... No. 221
Raw total energy ... -3.872 eV per atom
Raw formation energy ... -10.2 eV per formula unit

Structure (extended XYZ):
```
5
Lattice="4.811 0.000 0.000 0.000 4.811 0.000 0.000 0.000 4.811" Properties=species:S:1:pos:R:3 pbc="T T T"
Sr 2.405 2.405 2.405
Cl 0.000 0.000 2.405
Li 0.000 0.000 0.000
Cl 2.405 0.000 0.000
Cl 0.000 2.405 0.000
```

Below is a relaxed structure of UCo4Sn, with properties calculated at the PBE level.

V ... 14.21 A^3/atom
Space group ... No. 216
Raw total energy ... -7.396 eV per atom

Structure (extended XYZ):
```
6
Lattice="4.940 0.000 0.000 2.470 4.278 0.000 2.470 1.426 4.033" Properties=species:S:1:pos:R:3 pbc="T T T"
U 2.470 1.426 1.008
Co 6.190 3.574 2.527
Co 4.940 2.852 0.486
Co 4.940 1.409 2.527
Co 3.690 3.574 2.527
Sn 0.000 0.000 0.000
```

Below is a relaxed structure of Ac4PmAs5, with properties calculated at the PBE level.

V ... 32.06 A^3/atom
Space group ... No. 87
Raw total energy ... -5.916 eV per atom

Structure (extended XYZ):
```
10
Lattice="-0.835 -5.622 2.856 -2.899 -5.528 -4.644 6.169 -4.722 -0.408" Properties=species:S:1:pos:R:3 pbc="T T T"
As -0.654 -4.851 -2.641
As 1.238 -6.899 0.964
Pm -0.001 -0.007 0.003
As 1.195 -8.985 -3.154
As -0.418 -2.815 1.430
Ac 1.702 -4.122 -0.516
Ac -1.010 -7.648 -1.167
As 3.087 -11.033 0.451
Ac 3.443 -8.236 -1.022
Ac 0.732 -11.763 -1.673
```

Below is a relaxed structure of Ho2TlCd5, with properties calculated at the PBE level.

V ... 25.16 A^3/atom
Space group ... No. 63
Raw total energy ... -2.186 eV per atom

Structure (extended XYZ):
```
16
Lattice="-3.415 -0.647 0.795 0.558 -5.433 -10.022 2.691 -8.416 4.712" Properties=species:S:1:pos:R:3 pbc="T T T"
Cd 0.492 -8.524 -4.826
Cd -2.075 -4.445 -4.537
Cd -1.993 -1.795 -2.028
Cd -0.658 -5.972 0.310
Cd 1.909 -10.051 0.021
Cd 0.145 -7.465 2.544
Cd 1.125 -7.597 -1.352
Tl 1.001 -11.406 -4.984
Ho 0.261 -4.166 -2.270
Cd -1.290 -6.899 -3.163
Cd -0.311 -7.031 -7.060
Ho 0.000 0.000 0.000
Ho -0.427 -10.330 -2.246
Ho 1.346 -4.208 2.356
Tl -1.167 -3.090 0.468
Cd 1.828 -12.701 -2.487
```

Below is a relaxed structure of PuIn4Pd2Rh, with properties calculated at the PBE level.

V ... 20.92 A^3/atom
Space group ... No. 166
Raw total energy ... -5.720 eV per atom

Structure (extended XYZ):
```
8
Lattice="4.586 0.000 0.000 2.293 3.972 0.000 2.293 1.324 9.188" Properties=species:S:1:pos:R:3 pbc="T T T"
Pu 0.000 0.000 0.000
In 4.586 2.648 1.771
In 2.293 1.324 5.550
In 6.879 3.972 3.638
Pd 6.879 3.972 6.522
In 4.586 2.648 7.416
Rh 4.586 2.648 4.594
Pd 2.293 1.324 2.666
```

What did the third record say?
Below is a relaxed structure of UCo4Sn, with properties calculated at the PBE level.

V ... 14.21 A^3/atom
Space group ... No. 216
Raw total energy ... -7.396 eV per atom

Structure (extended XYZ):
```
6
Lattice="4.940 0.000 0.000 2.470 4.278 0.000 2.470 1.426 4.033" Properties=species:S:1:pos:R:3 pbc="T T T"
U 2.470 1.426 1.008
Co 6.190 3.574 2.527
Co 4.940 2.852 0.486
Co 4.940 1.409 2.527
Co 3.690 3.574 2.527
Sn 0.000 0.000 0.000
```

Q: Among the records above, which one has the highest V?
A: PrY7Tm2